Entry 1:
Computed, not measured: crystalline AlPt2N at its relaxed geometry at the PBE level of DFT.

Results
The raw total energy is -47.3 eV per cell. For the uncorrected formation energy, the calculation gives 12 kJ per mole of atoms. Its space group is I-42d.

Cell: 4.8586 4.8586 6.6632 Å, 68.62 68.62 90.00°
Last column: nearest neighbours and their distance in Å.
Fractional coordinates of all 8 atoms:
Al: 0.0000 0.0000 0.0000  4 Pt 2.51
Al: 0.7500 0.2500 0.5000  4 Pt 2.51
N: 0.2500 0.7500 0.5000  4 Pt 2.02
N: 0.5000 0.5000 0.0000  4 Pt 2.02
Pt: 0.8750 0.7806 0.7500  2 N 2.02
Pt: 0.2194 0.6250 0.2500  2 N 2.02
Pt: 0.3750 0.4694 0.7500  2 N 2.02
Pt: 0.5306 0.1250 0.2500  2 N 2.02



Entry 2:
Computed, not measured: crystalline AlPt2N at its relaxed geometry at the PBE level of DFT.

Results
The raw total energy is -21.9 eV per cell. For the uncorrected formation energy, the calculation gives 54 kJ per mole of atoms. Its space group is Fm-3m.

Cell: 4.2291 4.2291 4.2291 Å, 60.00 60.00 60.00°
Last column: nearest neighbours and their distance in Å.
Fractional coordinates of all 4 atoms:
Pt: 0.7500 0.7500 0.7500  4 N 2.59, 4 Al 2.59
Pt: 0.2500 0.2500 0.2500  4 Al 2.59, 4 N 2.59
N: 0.0000 0.0000 0.0000  8 Pt 2.59
Al: 0.5000 0.5000 0.5000  8 Pt 2.59



Entry 3:
Computed, not measured: crystalline AlPtS2N at its relaxed geometry at the PBE level of DFT.

Results
The raw total energy is -23.2 eV per cell. For the uncorrected formation energy, the calculation gives 61 kJ per mole of atoms. Its space group is P4/mmm.

Cell: 4.7165 4.7165 3.5025 Å, 90.00 90.00 90.00°
Last column: nearest neighbours and their distance in Å.
Fractional coordinates of all 5 atoms:
Pt: 0.5000 0.5000 0.5000  8 S 2.94
S: 0.0000 0.5000 0.0000  2 Al 2.36
S: 0.5000 0.0000 0.0000  2 Al 2.36
N: 0.0000 0.0000 0.5000  2 Al 1.75
Al: 0.0000 0.0000 0.0000  2 N 1.75



Entry 4:
Computed, not measured: crystalline AlPtS2N at its relaxed geometry at the PBE level of DFT.

Results
The raw total energy is -23.5 eV per cell. For the uncorrected formation energy, the calculation gives 55 kJ per mole of atoms. Its space group is P4/mmm.

Cell: 4.9448 4.9448 3.6730 Å, 90.00 90.00 90.00°
Last column: nearest neighbours and their distance in Å.
Fractional coordinates of all 5 atoms:
S: 0.5000 0.0000 0.0000  2 Pt 2.47
S: 0.0000 0.5000 0.0000  2 Pt 2.47
N: 0.0000 0.0000 0.5000  2 Pt 1.84
Al: 0.5000 0.5000 0.5000  8 S 3.08
Pt: 0.0000 0.0000 0.0000  2 N 1.84



Entry 5:
Computed, not measured: crystalline AlPtSN2 at its relaxed geometry at the PBE level of DFT.

Results
The raw total energy is -25.9 eV per cell. For the uncorrected formation energy, the calculation gives 90 kJ per mole of atoms. Its space group is P4/mmm.

Cell: 3.6978 3.6978 8.4223 Å, 90.00 90.00 90.00°
Last column: nearest neighbours and their distance in Å.
Fractional coordinates of all 5 atoms:
Pt: 0.0000 0.0000 0.0000  4 N 1.85
N: 0.0000 0.5000 0.0000  2 Pt 1.85
N: 0.5000 0.0000 0.0000  2 Pt 1.85
Al: 0.5000 0.5000 0.5000  4 S 2.61
S: 0.0000 0.0000 0.5000  4 Al 2.61



Entry 6:
Computed, not measured: crystalline AlPtSN2 at its relaxed geometry at the PBE level of DFT.

Results
The raw total energy is -26.1 eV per cell. For the uncorrected formation energy, the calculation gives 87 kJ per mole of atoms. Its space group is P4/mmm.

Cell: 3.6466 3.6466 5.2518 Å, 90.00 90.00 90.00°
Last column: nearest neighbours and their distance in Å.
Fractional coordinates of all 5 atoms:
Al: 0.0000 0.0000 0.0000  4 N 1.82
S: 0.0000 0.0000 0.5000  4 Pt 2.58, 2 Al 2.63
Pt: 0.5000 0.5000 0.5000  4 S 2.58
N: 0.5000 0.0000 0.0000  2 Al 1.82
N: 0.0000 0.5000 0.0000  2 Al 1.82